[1]
Li2AuO2 after structural relaxation, computed with GGA-PBE.

Calculated values
As for the uncorrected formation energy: -952.6 meV per atom. The calculation puts the density of states at the Fermi level at 2.5 states/eV per cell.

```
data_Li2AuO2
_chemical_formula_sum 'Li4 Au2 O4'
_symmetry_space_group_name_H-M 'P 4/m b m'
_symmetry_Int_Tables_number 127
_symmetry_space_group_name_Hall '-P 4 2ab'
_cell_length_a 5.939
_cell_length_b 5.939
_cell_length_c 3.015
_cell_angle_alpha 90.00
_cell_angle_beta 90.00
_cell_angle_gamma 90.00
loop_
_atom_site_label
_atom_site_fract_x
_atom_site_fract_y
_atom_site_fract_z
Li1 0.142 0.358 0.000
Au1 0.000 0.000 0.500
O1 0.178 0.678 0.500
```

[2]
Sm2TiSe4 after structural relaxation, computed with GGA-PBE.

Calculated values
As for the uncorrected formation energy: -1542.9 meV per atom. The calculation puts the density of states at the Fermi level at 6.2 states/eV per cell.

```
data_Sm2TiSe4
_chemical_formula_sum 'Sm4 Ti2 Se8'
_symmetry_space_group_name_H-M 'C 1 2/m 1'
_symmetry_Int_Tables_number 12
_cell_length_a 14.282
_cell_length_b 4.045
_cell_length_c 7.330
_cell_angle_alpha 90.00
_cell_angle_beta 120.04
_cell_angle_gamma 90.00
loop_
_symmetry_equiv_pos_as_xyz
'x,y,z'
'-x,-y,-z'
'-x,y,-z'
'x,-y,z'
'x+1/2,y+1/2,z'
'-x+1/2,-y+1/2,-z'
'-x+1/2,y+1/2,-z'
'x+1/2,-y+1/2,z'
loop_
_atom_site_label
_atom_site_fract_x
_atom_site_fract_y
_atom_site_fract_z
Sm1 0.231 0.000 0.221
Ti1 0.000 0.500 0.500
Se1 0.107 0.500 0.911
Se2 0.121 0.000 0.479
```

[3]
PaPt7Se12 after structural relaxation, computed with GGA-PBE.

Calculated values
As for the uncorrected formation energy: -400.3 meV per atom. The calculation puts the density of states at the Fermi level at 43.0 states/eV per cell.

```
data_PaPt7Se12
_chemical_formula_sum 'Pa3 Pt21 Se36'
_symmetry_space_group_name_H-M 'R -3'
_symmetry_Int_Tables_number 148
_symmetry_space_group_name_Hall '-R 3'
_cell_length_a 13.5759
_cell_length_b 13.5759
_cell_length_c 9.4286
_cell_angle_alpha 90.00
_cell_angle_beta 90.00
_cell_angle_gamma 120.00
loop_
_atom_site_label
_atom_site_fract_x
_atom_site_fract_y
_atom_site_fract_z
Pa1 0.0000 0.0000 0.0000
Pt1 0.0000 0.0000 0.5000
Pt2 0.0434 0.8682 0.8230
Se1 0.0401 0.8790 0.3297
Se2 0.0478 0.4689 0.6687
```

[4]
NdPu2Ni2Ge2 after structural relaxation, computed with GGA-PBE.

Calculated values
The calculation puts the formation energy at -2.6 eV/f.u. The calculation puts the density of states at the Fermi level at 30.8 states/eV per cell.

```
data_NdPu2Ni2Ge2
_chemical_formula_sum 'Nd3 Pu6 Ni6 Ge6'
_symmetry_space_group_name_H-M 'R -3 m'
_symmetry_Int_Tables_number 166
_symmetry_space_group_name_Hall '-R 3 2"'
_cell_length_a 4.0662
_cell_length_b 4.0662
_cell_length_c 26.5399
_cell_angle_alpha 90.00
_cell_angle_beta 90.00
_cell_angle_gamma 120.00
loop_
_atom_site_label
_atom_site_fract_x
_atom_site_fract_y
_atom_site_fract_z
Nd1 0.0000 0.0000 0.0000
Pu1 0.0000 0.0000 0.1525
Ni1 0.0000 0.0000 0.4293
Ge1 0.0000 0.0000 0.2604
```

[5]
MgNi2Sn2 after structural relaxation, computed with GGA-PBE.

Calculated values
The value obtained for the offset from the most stable computed form is 0.062 eV/atom. The calculation puts the formation energy at -1.1 eV/f.u. The calculation puts the density of states at the Fermi level at 3.6 states/eV per cell.

```
data_MgNi2Sn2
_chemical_formula_sum 'Mg2 Ni4 Sn4'
_symmetry_space_group_name_H-M 'P 1 21/m 1'
_symmetry_Int_Tables_number 11
_cell_length_a 4.982
_cell_length_b 4.292
_cell_length_c 8.686
_cell_angle_alpha 90.00
_cell_angle_beta 100.15
_cell_angle_gamma 90.00
loop_
_symmetry_equiv_pos_as_xyz
'x,y,z'
'-x,-y,-z'
'-x,y+1/2,-z'
'x,-y+1/2,z'
loop_
_atom_site_label
_atom_site_fract_x
_atom_site_fract_y
_atom_site_fract_z
Mg1 0.055 0.250 0.274
Ni1 0.136 0.750 0.458
Ni2 0.248 0.750 0.140
Sn1 0.279 0.250 0.969
Sn2 0.384 0.250 0.612
```

[6]
KTlSe after structural relaxation, computed with GGA-PBE.

Calculated values
The value obtained for the offset from the most stable computed form is 0.033 eV/atom. As for the uncorrected formation energy: -732.7 meV per atom.

```
data_KTlSe
_chemical_formula_sum 'K4 Tl4 Se4'
_symmetry_space_group_name_H-M 'C 1 2/m 1'
_symmetry_Int_Tables_number 12
_cell_length_a 12.353
_cell_length_b 4.186
_cell_length_c 9.990
_cell_angle_alpha 90.00
_cell_angle_beta 125.76
_cell_angle_gamma 90.00
loop_
_symmetry_equiv_pos_as_xyz
'x,y,z'
'-x,-y,-z'
'-x,y,-z'
'x,-y,z'
'x+1/2,y+1/2,z'
'-x+1/2,-y+1/2,-z'
'-x+1/2,y+1/2,-z'
'x+1/2,-y+1/2,z'
loop_
_atom_site_label
_atom_site_fract_x
_atom_site_fract_y
_atom_site_fract_z
K1 0.056 0.000 0.368
Tl1 0.156 0.500 0.063
Se1 0.203 0.500 0.695
```

[7]
Mg3FeB after structural relaxation, computed with GGA-PBE.

Calculated values
The value obtained for the offset from the most stable computed form is 0.800 eV/atom. The calculation puts the formation energy at 7.0 eV/f.u. The calculation puts the density of states at the Fermi level at 6.4 states/eV per cell.

```
data_Mg3FeB
_chemical_formula_sum 'Mg3 Fe1 B1'
_symmetry_space_group_name_H-M 'P m -3 m'
_symmetry_Int_Tables_number 221
_symmetry_space_group_name_Hall '-P 4 2 3'
_cell_length_a 4.837
_cell_length_b 4.837
_cell_length_c 4.837
_cell_angle_alpha 90.00
_cell_angle_beta 90.00
_cell_angle_gamma 90.00
loop_
_atom_site_label
_atom_site_fract_x
_atom_site_fract_y
_atom_site_fract_z
Mg1 0.000 0.000 0.500
Fe1 0.000 0.000 0.000
B1 0.500 0.500 0.500
```

[8]
SrIn after structural relaxation, computed with GGA-PBE.

Calculated values
The calculation puts the formation energy at 0.8 eV/f.u. The calculation puts the density of states at the Fermi level at 7.5 states/eV per cell.

```
data_SrIn
_chemical_formula_sum 'Sr4 In4'
_symmetry_space_group_name_H-M 'F -4 3 m'
_symmetry_Int_Tables_number 216
_symmetry_space_group_name_Hall 'F -4 2 3'
_cell_length_a 7.628
_cell_length_b 7.628
_cell_length_c 7.628
_cell_angle_alpha 90.00
_cell_angle_beta 90.00
_cell_angle_gamma 90.00
loop_
_atom_site_label
_atom_site_fract_x
_atom_site_fract_y
_atom_site_fract_z
Sr1 0.000 0.000 0.000
In1 0.250 0.250 0.750
```

Number 1: volume 10.636 A^3/atom, density 7.58 g/cm3. Number 2: volume 26.185 A^3/atom, density 6.02 g/cm3. Number 3: volume 25.082 A^3/atom, density 8.42 g/cm3. Number 4: volume 18.096 A^3/atom, density 11.73 g/cm3. Number 5: volume 18.283 A^3/atom, density 6.89 g/cm3. Number 6: volume 34.931 A^3/atom, density 5.11 g/cm3. Number 7: volume 22.632 A^3/atom, density 2.05 g/cm3. Number 8: volume 55.486 A^3/atom, density 3.03 g/cm3.